(1)
Below is crystalline Na2Mg4Pb3 at its relaxed geometry, with properties calculated at the PBE-GGA level.

Cell and atoms, written as extended XYZ:
```
9
Lattice="-3.220 -0.974 -3.928 4.857 -1.804 0.017 -2.226 -10.542 3.276" Properties=species:S:1:pos:R:3 pbc="T T T"
Pb -1.661 -4.563 -0.745
Na 1.415 -3.696 -0.078
Pb 0.000 0.000 0.000
Mg 0.215 -11.334 1.578
Na -2.004 -9.625 -0.556
Mg 0.335 -6.498 -1.822
Mg -0.924 -6.822 1.188
Mg -0.804 -1.986 -2.212
Pb 1.072 -8.757 0.111
```

- Energy of formation: -0.066 eV/atom
- E_tot: -2.3036 eV/atom

(2)
Below is crystalline NaMg2Pb6 at its relaxed geometry, with properties calculated at the PBE-GGA level.

Cell and atoms, written as extended XYZ:
```
18
Lattice="-3.249 -0.486 4.726 -7.919 -3.952 -4.256 0.605 -9.750 1.008" Properties=species:S:1:pos:R:3 pbc="T T T"
Mg -5.422 -4.090 1.028
Pb -3.921 -6.950 1.692
Pb -6.259 -8.846 3.389
Mg -1.623 -5.326 0.008
Pb -7.883 -10.116 -1.444
Mg -8.940 -8.861 1.470
Mg -5.141 -10.097 0.450
Na -1.256 -9.158 1.542
Na -9.307 -5.029 -0.064
Pb -8.255 -6.381 -3.029
Pb -2.680 -4.071 2.922
Pb -4.304 -5.341 -1.911
Pb -3.109 -2.431 -0.710
Pb -6.642 -7.238 -0.214
Pb -7.454 -11.756 2.187
Pb -2.308 -7.806 4.507
Pb -3.605 -10.891 3.209
Pb -6.958 -3.296 -1.731
```

- Energy of formation: -0.035 eV/atom
- E_tot: -3.0086 eV/atom

Repeat the first record exactly.
Below is crystalline Na2Mg4Pb3 at its relaxed geometry, with properties calculated at the PBE-GGA level.

Cell and atoms, written as extended XYZ:
```
9
Lattice="-3.220 -0.974 -3.928 4.857 -1.804 0.017 -2.226 -10.542 3.276" Properties=species:S:1:pos:R:3 pbc="T T T"
Pb -1.661 -4.563 -0.745
Na 1.415 -3.696 -0.078
Pb 0.000 0.000 0.000
Mg 0.215 -11.334 1.578
Na -2.004 -9.625 -0.556
Mg 0.335 -6.498 -1.822
Mg -0.924 -6.822 1.188
Mg -0.804 -1.986 -2.212
Pb 1.072 -8.757 0.111
```

- Energy of formation: -0.066 eV/atom
- E_tot: -2.3036 eV/atom

Q: Which value of E_tot does entry 1 give?
A: -2.3036 eV/atom